Material: TiFeS
Method: DFT, PBE
State: relaxed

Results
DOS(E_F) = 0.550 states/eV/atom
space group = No. 139
E_form (uncorrected) = -0.4440 eV/atom

Lattice parameters (Å, degrees): 10.420 10.420 10.420 162.67 162.67 24.60
Sites, in units of the cell vectors:
Ti  0.116  0.116  0.000
Ti  0.884  0.884  0.000
Fe  0.449  0.449  0.000
Fe  0.551  0.551  0.000
S  0.330  0.330  0.000
S  0.670  0.670  0.000